(1)
# SiH10C2N4O2F6, relaxed, DFT PBE
# electronic total energy	-144.35	eV per formula unit
data_SiH10C2N4O2F6
_cell_length_a 8.331
_cell_length_b 12.677
_cell_length_c 9.192
_cell_angle_alpha 90.00
_cell_angle_beta 90.00
_cell_angle_gamma 90.00
_space_group_name_H-M_alt 'P b c a'
_space_group_IT_number 61
loop_
_space_group_symop_operation_xyz
'x,y,z'
'-x,-y,-z'
'-x+1/2,-y,z+1/2'
'x+1/2,y,-z+1/2'
'x+1/2,-y+1/2,-z'
'-x+1/2,y+1/2,z'
'-x,y+1/2,-z+1/2'
'x,-y+1/2,z+1/2'
loop_
_atom_site_label
_atom_site_fract_x
_atom_site_fract_y
_atom_site_fract_z
_atom_site_occupancy
Si1 0.000 0.000 0.000 1
H1 0.021 0.102 0.317 1
H2 0.086 0.664 0.762 1
H3 0.179 0.595 0.125 1
H4 0.210 0.122 0.501 1
H5 0.247 0.650 0.883 1
C1 0.020 0.645 0.970 1
N1 0.062 0.615 0.103 1
N2 0.127 0.664 0.866 1
O1 0.132 0.159 0.567 1
F1 0.032 0.116 0.908 1
F2 0.116 0.046 0.141 1
F3 0.169 0.553 0.418 1

---

(2)
# SnH24C6N2O2F6, relaxed, DFT PBE
# electronic total energy	-209.89	eV per formula unit
data_SnH24C6N2O2F6
_cell_length_a 14.911
_cell_length_b 7.352
_cell_length_c 8.242
_cell_angle_alpha 90.00
_cell_angle_beta 119.52
_cell_angle_gamma 90.00
_space_group_name_H-M_alt 'C 1 2/m 1'
_space_group_IT_number 12
loop_
_space_group_symop_operation_xyz
'x,y,z'
'-x,-y,-z'
'-x,y,-z'
'x,-y,z'
'x+1/2,y+1/2,z'
'-x+1/2,-y+1/2,-z'
'-x+1/2,y+1/2,-z'
'x+1/2,-y+1/2,z'
loop_
_atom_site_label
_atom_site_fract_x
_atom_site_fract_y
_atom_site_fract_z
_atom_site_occupancy
Sn1 0.000 0.000 0.000 1
H1 0.042 0.392 0.235 1
H2 0.111 0.175 0.662 1
H3 0.147 0.159 0.484 1
H4 0.176 0.378 0.011 1
H5 0.197 0.500 0.293 1
H6 0.212 0.000 0.956 1
H7 0.226 0.286 0.693 1
C1 0.176 0.168 0.634 1
C2 0.223 0.500 0.071 1
N1 0.237 0.000 0.724 1
O1 0.086 0.500 0.295 1
F1 0.028 0.194 0.857 1
F2 0.149 0.000 0.194 1